Density functional theory data (PBE) for a geometry-optimized LiNd4Ga3 structure.

Structure (POSCAR):
```
LiNd4Ga3
1.0
5.0161 0.0000 -1.3540
-0.3605 5.0082 -1.3355
-0.4239 -0.4917 8.3980
Nd Ga Li
4 3 1
Cartesian
1.4149 1.4943 5.2416
2.8168 3.0222 0.4669
0.4891 0.5174 1.8118
3.7426 3.9991 3.8967
-0.1802 2.5041 -0.6677
3.4464 0.9915 2.7991
0.7854 3.5250 2.9094
2.5081 0.0000 -0.6770
```

Properties
- DOS at the Fermi energy (states/eV/f.u.) = 5.00
- theoretical density (kg/m3) = 6438
- raw total energy (eV per cell) = -33.54
- calculated formation energy (eV per atom) = -0.43

***

Density functional theory data (PBE) for a geometry-optimized AlGaTc structure.

Structure (POSCAR):
```
AlGaTc
1.0
4.2204 0.0000 2.3398
2.1102 4.1192 1.1699
-0.0355 0.0000 5.0401
Al Ga Tc
2 2 2
Cartesian
4.2204 2.9022 2.3398
4.2027 0.8427 4.8599
4.2204 0.1247 2.3398
2.0925 2.1843 3.6900
2.1102 1.5097 1.1699
4.2027 3.5693 4.8599
```

Properties
- DOS at the Fermi energy (states/eV/f.u.) = 2.88
- theoretical density (kg/m3) = 7351
- raw total energy (eV per cell) = -36.30
- calculated formation energy (eV per atom) = -0.34

***

Density functional theory data (PBE) for a geometry-optimized CdPtO2F structure.

Structure (POSCAR):
```
CdPtO2F
1.0
-3.6914 0.9464 -1.2265
-1.3291 -0.3060 3.7638
0.8670 4.2238 0.6495
F O Pt Cd
1 2 1 1
Cartesian
0.4335 2.1119 0.3248
-0.6645 -0.1530 1.8819
-1.8457 0.4732 -0.6133
0.0000 0.0000 0.0000
-2.0767 2.4321 1.5934
```

Properties
- DOS at the Fermi energy (states/eV/f.u.) = 3.30
- theoretical density (kg/m3) = 8518
- formation energy from raw total energies (eV/atom) = -0.44
- raw total energy (eV per cell) = -20.92

***

Density functional theory data (PBE) for a geometry-optimized Be3Zn5 structure.

Structure (POSCAR):
```
Be3Zn5
1.0
-4.7861 -2.1705 -0.1437
0.7643 -1.8239 4.8712
-1.4046 3.0081 1.3467
Be Zn
3 5
Cartesian
-2.0109 -1.9972 2.3637
-4.0782 -0.5784 1.8038
-1.3483 -0.4079 4.2703
0.0000 0.0000 0.0000
0.3821 -0.9119 2.4356
-2.3931 -1.0853 -0.0719
-1.7859 0.4278 1.9470
-3.6405 -1.4141 4.1271
```

Properties
- DOS at the Fermi energy (states/eV/f.u.) = 1.75
- theoretical density (kg/m3) = 5939
- raw total energy (eV per cell) = -15.97
- calculated formation energy (eV per atom) = 0.20

***

Density functional theory data (PBE) for a geometry-optimized Ba2DyOs2N6 structure.

Structure (POSCAR):
```
Ba2DyOs2N6
1.0
6.1136 0.0000 0.0000
3.0568 5.2945 0.0000
3.0568 1.7648 6.2356
Ba Dy Os N
2 1 2 6
Cartesian
9.1704 5.2945 3.9891
3.0568 1.7648 2.2465
0.0000 0.0000 0.0000
6.1136 3.5297 4.9534
6.1136 3.5297 1.2822
7.6379 4.4097 1.5777
4.5893 4.4097 1.5777
6.1136 1.7696 1.5777
6.1136 5.2898 4.6578
7.6379 2.6497 4.6578
4.5893 2.6497 4.6578
```

Properties
- DOS at the Fermi energy (states/eV/f.u.) = 5.79
- theoretical density (kg/m3) = 7418
- formation energy from raw total energies (eV/atom) = -0.45
- raw total energy (eV per cell) = -85.80

***

Density functional theory data (PBE) for a geometry-optimized Ni2HIr structure.

Structure (POSCAR):
```
Ni2HIr
1.0
2.5692 0.0000 0.0000
0.0000 2.5692 0.0000
0.0000 0.0000 6.1559
Ni Ir H
2 1 1
Cartesian
0.0000 0.0000 4.9599
0.0000 0.0000 1.1960
1.2846 1.2846 3.0780
1.2846 1.2846 0.0000
```

Properties
- DOS at the Fermi energy (states/eV/f.u.) = 5.84
- theoretical density (kg/m3) = 12694
- raw total energy (eV per cell) = -22.67

***

Density functional theory data (PBE) for a geometry-optimized Sm2AsC structure.

Structure (POSCAR):
```
Sm2AsC
1.0
-2.7297 -2.8876 2.0437
-0.1658 -4.2562 -1.3503
4.4761 -4.1196 5.0427
As C Sm
1 1 2
Cartesian
0.7903 -5.6317 2.8681
0.0000 0.0000 0.0000
2.8513 -3.6006 3.6059
-1.2707 -7.6629 2.1302
```

Properties
- DOS at the Fermi energy (states/eV/f.u.) = 1.60
- theoretical density (kg/m3) = 4985
- raw total energy (eV per cell) = -22.32
- calculated formation energy (eV per atom) = 0.25

***

Density functional theory data (PBE) for a geometry-optimized Ga2FeBi structure.

Structure (POSCAR):
```
Ga2FeBi
1.0
4.3350 0.0000 0.0000
0.0000 4.3350 0.0000
2.1675 2.1675 8.4809
Bi Ga Fe
2 4 2
Cartesian
0.0000 0.0000 0.0000
4.3350 2.1675 4.2404
2.7938 1.0838 2.1202
1.5412 3.2513 2.1202
3.2513 3.7087 6.3607
5.4188 4.9613 6.3607
2.1675 2.1675 0.0000
2.1675 4.3350 4.2404
```

Properties
- DOS at the Fermi energy (states/eV/f.u.) = 3.69
- theoretical density (kg/m3) = 8424
- raw total energy (eV per cell) = -34.27
- calculated formation energy (eV per atom) = 0.32